# CdCuBRh2 PBE relaxed
# Crystal system: tetragonal
# DFT formation energy, meV per atom: -183
# Symmetry: P4/mmm
# Total DFT energy (no corrections), eV per atom: -5.4616
data_CdCuBRh2
_chemical_formula_sum 'Cd1 Cu1 B1 Rh2'
_space_group_name_H-M_alt 'P 1'
_space_group_IT_number 1
_cell_length_a 4.144
_cell_length_b 4.144
_cell_length_c 4.034
_cell_angle_alpha 90.00
_cell_angle_beta 90.00
_cell_angle_gamma 90.00
loop_
_space_group_symop_operation_xyz
'x,y,z'
loop_
_atom_site_label
_atom_site_type_symbol
_atom_site_fract_x
_atom_site_fract_y
_atom_site_fract_z
Cd1 Cd 0.500 0.500 0.500
B1 B 0.000 0.000 0.000
Rh1 Rh 0.500 0.000 0.000
Rh2 Rh 0.000 0.500 0.000
Cu1 Cu 0.000 0.000 0.500